i.
A plane-wave DFT calculation with GGA-PBE was carried out for Pm5PrTm4 after structural relaxation.

Its density of states at the Fermi level is 13.68 states/eV/f.u. The value obtained for the total magnetization is 0.0 μB/cell.

It has space group C2/m (No. 12), with a = 17.139 Å, b = 3.549 Å, c = 11.452 Å, α = 90.00°, β = 109.03° and γ = 90.00°. The asymmetric unit holds Pm at (0.000, 0.000, 0.000), Pm at (0.190, 0.500, 0.578), Pm at (0.211, 0.500, 0.116), Pr at (0.000, 0.000, 0.500), Tm at (0.082, 0.500, 0.792) and Tm at (0.105, 0.000, 0.296).

ii.
A plane-wave DFT calculation with GGA-PBE was carried out for Pm5PrTm4 after structural relaxation.

Its density of states at the Fermi level is 15.62 states/eV/f.u. The value obtained for the total magnetization is 0.0 μB/cell.

It has space group C2/m (No. 12), with a = 18.123 Å, b = 3.575 Å, c = 10.511 Å, α = 90.00°, β = 96.45° and γ = 90.00°. The asymmetric unit holds Pm at (0.000, 0.000, 0.000), Pm at (0.142, 0.500, 0.732), Pm at (0.189, 0.500, 0.096), Pr at (0.000, 0.000, 0.500), Tm at (0.046, 0.500, 0.260) and Tm at (0.183, 0.000, 0.411).

So which one is most stable? That would be i, about 118 meV/atom below the next structure.

i.
A plane-wave DFT calculation with GGA-PBE was carried out for PmPrTm5 after structural relaxation.

Its density of states at the Fermi level is 9.28 states/eV/f.u. The value obtained for the total magnetization is 0.0 μB/cell.

It has space group C2/c (No. 15), with a = 11.540 Å, b = 6.872 Å, c = 11.994 Å, α = 90.00°, β = 108.48° and γ = 90.00°. The asymmetric unit holds Pm at (0.250, 0.250, 0.000), Pr at (0.000, 0.025, 0.250), Tm at (0.000, 0.409, 0.750), Tm at (0.079, 0.285, 0.498) and Tm at (0.222, 0.358, 0.255).

ii.
A plane-wave DFT calculation with GGA-PBE was carried out for PmPrTm5 after structural relaxation.

Its density of states at the Fermi level is 8.57 states/eV/f.u. The value obtained for the total magnetization is 0.0 μB/cell.

It has space group Imm2 (No. 44), with a = 7.989 Å, b = 11.604 Å, c = 6.171 Å, α = 90.00°, β = 90.00° and γ = 90.00°. The asymmetric unit holds Pm at (0.000, 0.000, 0.000), Pr at (0.000, 0.500, 0.747), Tm at (0.000, 0.257, 0.021), Tm at (0.000, 0.500, 0.275) and Tm at (0.181, 0.000, 0.507).

So which one is most stable? That would be i, about 798 meV/atom below the next structure.

i.
A plane-wave DFT calculation with GGA-PBE was carried out for Pm12Pr5Tm2 after structural relaxation.

Its density of states at the Fermi level is 28.44 states/eV/f.u. The value obtained for the total magnetization is 0.0 μB/cell.

It has space group C2/m (No. 12), with a = 18.094 Å, b = 11.860 Å, c = 6.285 Å, α = 90.00°, β = 102.82° and γ = 90.00°. The asymmetric unit holds Pm at (0.052, 0.000, 0.273), Pm at (0.102, 0.246, 0.619), Pm at (0.119, 0.500, 0.999), Pm at (0.196, 0.246, 0.198), Pr at (0.000, 0.500, 0.500), Pr at (0.176, 0.000, 0.857), Pr at (0.215, 0.500, 0.556) and Tm at (0.000, 0.269, 0.000).

ii.
A plane-wave DFT calculation with GGA-PBE was carried out for Pm12Pr5Tm2 after structural relaxation.

Its density of states at the Fermi level is 31.23 states/eV/f.u. The value obtained for the total magnetization is 0.0 μB/cell.

It has space group C2/m (No. 12), with a = 18.908 Å, b = 7.277 Å, c = 10.452 Å, α = 90.00°, β = 112.25° and γ = 90.00°. The asymmetric unit holds Pm at (0.003, 0.000, 0.318), Pm at (0.020, 0.500, 0.236), Pm at (0.159, 0.251, 0.865), Pm at (0.166, 0.250, 0.517), Pr at (0.000, 0.500, 0.500), Pr at (0.175, 0.000, 0.207), Pr at (0.183, 0.500, 0.183) and Tm at (0.000, 0.216, 0.000).

So which one is most stable? That would be i, about 71 meV/atom below the next structure.

i.
A plane-wave DFT calculation with GGA-PBE was carried out for PmPr2Tm5 after structural relaxation.

Its density of states at the Fermi level is 11.96 states/eV/f.u. The value obtained for the total magnetization is 0.0 μB/cell.

It has space group C2/c (No. 15), with a = 16.207 Å, b = 9.883 Å, c = 6.504 Å, α = 90.00°, β = 97.85° and γ = 90.00°. The asymmetric unit holds Pm at (0.250, 0.250, 0.000), Pr at (0.077, 0.246, 0.113), Tm at (0.000, 0.442, 0.750), Tm at (0.100, 0.088, 0.645) and Tm at (0.196, 0.411, 0.524).

ii.
A plane-wave DFT calculation with GGA-PBE was carried out for PmPr2Tm5 after structural relaxation.

Its density of states at the Fermi level is 10.86 states/eV/f.u. The value obtained for the total magnetization is 0.0 μB/cell.

It has space group I4/mmm (No. 139), with a = 7.166 Å, b = 7.166 Å, c = 9.953 Å, α = 90.00°, β = 90.00° and γ = 90.00°. The asymmetric unit holds Pm at (0.000, 0.000, 0.000), Pr at (0.000, 0.500, 0.000), Tm at (0.000, 0.000, 0.500) and Tm at (0.250, 0.250, 0.250).

So which one is most stable? That would be ii, about 160 meV/atom below the next structure.

i.
A plane-wave DFT calculation with GGA-PBE was carried out for Pm3PrTm after structural relaxation.

Its density of states at the Fermi level is 7.65 states/eV/f.u. The value obtained for the total magnetization is 0.0 μB/cell.

It has space group P-1 (No. 2), with a = 6.494 Å, b = 6.805 Å, c = 8.396 Å, α = 79.49°, β = 71.40° and γ = 88.57°. The asymmetric unit holds Pm at (0.021, 0.165, 0.325), Pm at (0.149, 0.632, 0.304), Pm at (0.403, 0.241, 0.545), Pr at (0.000, 0.000, 0.000), Pr at (0.500, 0.000, 0.000) and Tm at (0.287, 0.511, 0.899).

ii.
A plane-wave DFT calculation with GGA-PBE was carried out for Pm3PrTm after structural relaxation.

Its density of states at the Fermi level is 6.96 states/eV/f.u. The value obtained for the total magnetization is 0.0 μB/cell.

It has space group Ama2 (No. 40), with a = 10.386 Å, b = 9.719 Å, c = 6.930 Å, α = 90.00°, β = 90.00° and γ = 90.00°. The asymmetric unit holds Pm at (0.064, 0.150, 0.000), Pm at (0.250, 0.405, 0.238), Pr at (0.250, 0.307, 0.687) and Tm at (0.000, 0.000, 0.462).

So which one is most stable? That would be i, about 55 meV/atom below the next structure.

i.
A plane-wave DFT calculation with GGA-PBE was carried out for Pm2Pr6Tm3 after structural relaxation.

Its density of states at the Fermi level is 13.86 states/eV/f.u. The value obtained for the total magnetization is 0.0 μB/cell.

It has space group I4/mmm (No. 139), with a = 5.750 Å, b = 5.750 Å, c = 24.841 Å, α = 90.00°, β = 90.00° and γ = 90.00°. The asymmetric unit holds Pm at (0.000, 0.000, 0.059), Pr at (0.000, 0.000, 0.200), Pr at (0.000, 0.500, 0.096), Tm at (0.000, 0.000, 0.337) and Tm at (0.000, 0.000, 0.500).

ii.
A plane-wave DFT calculation with GGA-PBE was carried out for Pm2Pr6Tm3 after structural relaxation.

Its density of states at the Fermi level is 16.05 states/eV/f.u. The value obtained for the total magnetization is 0.0 μB/cell.

It has space group P-1 (No. 2), with a = 6.637 Å, b = 6.829 Å, c = 8.851 Å, α = 78.31°, β = 73.28° and γ = 87.18°. The asymmetric unit holds Pm at (0.219, 0.034, 0.077), Pr at (0.037, 0.495, 0.803), Pr at (0.098, 0.202, 0.529), Pr at (0.408, 0.869, 0.709), Tm at (0.416, 0.650, 0.359) and Tm at (0.500, 0.500, 0.000).

So which one is most stable? That would be ii, about 394 meV/atom below the next structure.

i.
A plane-wave DFT calculation with GGA-PBE was carried out for Pm5Pr2Tm4 after structural relaxation.

Its density of states at the Fermi level is 15.56 states/eV/f.u. The value obtained for the total magnetization is 0.0 μB/cell.

It has space group Immm (No. 71), with a = 3.531 Å, b = 9.130 Å, c = 23.541 Å, α = 90.00°, β = 90.00° and γ = 90.00°. The asymmetric unit holds Pm at (0.000, 0.000, 0.000), Pm at (0.000, 0.302, 0.358), Pr at (0.000, 0.500, 0.232), Tm at (0.000, 0.184, 0.500) and Tm at (0.000, 0.500, 0.096).

ii.
A plane-wave DFT calculation with GGA-PBE was carried out for Pm5Pr2Tm4 after structural relaxation.

Its density of states at the Fermi level is 14.73 states/eV/f.u. The value obtained for the total magnetization is 0.0 μB/cell.

It has space group C2/m (No. 12), with a = 17.746 Å, b = 3.549 Å, c = 11.682 Å, α = 90.00°, β = 94.00° and γ = 90.00°. The asymmetric unit holds Pm at (0.000, 0.000, 0.000), Pm at (0.095, 0.500, 0.535), Pm at (0.176, 0.500, 0.067), Pr at (0.216, 0.000, 0.350), Tm at (0.031, 0.500, 0.257) and Tm at (0.139, 0.000, 0.797).

So which one is most stable? That would be ii, about 97 meV/atom below the next structure.

i.
A plane-wave DFT calculation with GGA-PBE was carried out for PmPrTm after structural relaxation.

Its density of states at the Fermi level is 4.51 states/eV/f.u. The value obtained for the total magnetization is 0.0 μB/cell.

It has space group P2_1/m (No. 11), with a = 3.551 Å, b = 5.295 Å, c = 10.792 Å, α = 90.00°, β = 98.79° and γ = 90.00°. The asymmetric unit holds Pm at (0.141, 0.250, 0.253), Pr at (0.429, 0.250, 0.906) and Tm at (0.283, 0.250, 0.581).

ii.
A plane-wave DFT calculation with GGA-PBE was carried out for PmPrTm after structural relaxation.

Its density of states at the Fermi level is 4.71 states/eV/f.u. The value obtained for the total magnetization is 0.0 μB/cell.

It has space group I4mm (No. 107), with a = 3.629 Å, b = 3.629 Å, c = 15.303 Å, α = 90.00°, β = 90.00° and γ = 90.00°. The asymmetric unit holds Pm at (0.000, 0.000, 0.000), Pr at (0.000, 0.000, 0.672) and Tm at (0.000, 0.000, 0.337).

iii.
A plane-wave DFT calculation with GGA-PBE was carried out for PmPrTm after structural relaxation.

Its density of states at the Fermi level is 4.00 states/eV/f.u. The value obtained for the total magnetization is 0.0 μB/cell.

It has space group P4/nmm (No. 129, origin choice 2), with a = 4.908 Å, b = 4.908 Å, c = 8.741 Å, α = 90.00°, β = 90.00° and γ = 90.00°. The asymmetric unit holds Pm at (0.250, 0.750, 0.000), Pr at (0.250, 0.250, 0.306) and Tm at (0.250, 0.250, 0.703).

So which one is most stable? That would be ii, about 43 meV/atom below the next structure.

i.
A plane-wave DFT calculation with GGA-PBE was carried out for PmPrTm after structural relaxation.

Its density of states at the Fermi level is 4.07 states/eV/f.u. The value obtained for the total magnetization is 0.0 μB/cell.

It has space group P-6m2 (No. 187), with a = 5.7282 Å, b = 5.7282 Å, c = 3.5213 Å, α = 90.00°, β = 90.00° and γ = 120.00°. The asymmetric unit holds Pm at (0.0000, 0.0000, 0.0000), Pr at (0.6667, 0.3333, 0.5000) and Tm at (0.3333, 0.6667, 0.0000).

ii.
A plane-wave DFT calculation with GGA-PBE was carried out for PmPrTm after structural relaxation.

Its density of states at the Fermi level is 3.95 states/eV/f.u. The value obtained for the total magnetization is 0.0 μB/cell.

It has space group P3m1 (No. 156), with a = 3.6170 Å, b = 3.6170 Å, c = 8.8610 Å, α = 90.00°, β = 90.00° and γ = 120.00°. The asymmetric unit holds Pm at (0.0000, 0.0000, 0.0000), Pr at (0.6667, 0.3333, 0.3464) and Tm at (0.3333, 0.6667, 0.6757).

So which one is most stable? That would be ii, about 45 meV/atom below the next structure.

i.
A plane-wave DFT calculation with GGA-PBE was carried out for Pm7Pr3Tm after structural relaxation.

Its density of states at the Fermi level is 16.43 states/eV/f.u. The value obtained for the total magnetization is 0.0 μB/cell.

It has space group P3m1 (No. 156), with a = 7.2236 Å, b = 7.2236 Å, c = 8.8296 Å, α = 90.00°, β = 90.00° and γ = 120.00°. The asymmetric unit holds Pm at (0.0000, 0.0000, 0.0000), Pm at (0.1663, 0.3326, 0.6740), Pm at (0.5006, 0.0012, 0.0048), Pr at (0.3342, 0.1671, 0.3414) and Tm at (0.6667, 0.3333, 0.6806).

ii.
A plane-wave DFT calculation with GGA-PBE was carried out for Pm7Pr3Tm after structural relaxation.

Its density of states at the Fermi level is 15.44 states/eV/f.u. The value obtained for the total magnetization is 0.0 μB/cell.

It has space group C2/m (No. 12), with a = 11.802 Å, b = 10.285 Å, c = 6.525 Å, α = 90.00°, β = 94.31° and γ = 90.00°. The asymmetric unit holds Pm at (0.000, 0.000, 0.000), Pm at (0.241, 0.171, 0.262), Pm at (0.241, 0.500, 0.215), Pr at (0.000, 0.327, 0.000), Pr at (0.000, 0.500, 0.500) and Tm at (0.000, 0.000, 0.500).

So which one is most stable? That would be i, about 66 meV/atom below the next structure.